# 1
First-principles (PBE) data for an optimized crystal structure of ZrTlFeHg, as listed in OQMD via LeMat-Bulk.

Cell: 4.778 4.778 4.778 Å, 60.00 60.00 60.00°
Positions (direct):
1 Zr 0.000 0.000 0.000
2 Tl 0.500 0.500 0.500
3 Fe 0.750 0.750 0.750
4 Hg 0.250 0.250 0.250

- Size of the total moment: 0.429 μB/atom
- E_tot: -18.2 eV per cell

=====

# 2
First-principles (PBE) data for an optimized crystal structure of ZrTlFeHg, as listed in OQMD via LeMat-Bulk.

Cell: 4.756 4.756 4.756 Å, 60.00 60.00 60.00°
Positions (direct):
1 Zr 0.000 0.000 0.000
2 Tl 0.250 0.250 0.250
3 Fe 0.500 0.500 0.500
4 Hg 0.750 0.750 0.750

- Size of the total moment: 0.519 μB/atom
- E_tot: -18.4 eV per cell

=====

# 3
First-principles (PBE) data for an optimized crystal structure of TmFeHg, as listed in OQMD via LeMat-Bulk.

Cell: 4.674 4.674 4.674 Å, 60.00 60.00 60.00°
Positions (direct):
1 Tm 0.000 0.000 0.000
2 Fe 0.500 0.500 0.500
3 Hg 0.750 0.750 0.750

- Size of the total moment: 0.764 μB/atom
- Energy of formation from the pure elements: 1.1 eV per formula unit

=====

# 4
First-principles (PBE) data for an optimized crystal structure of TmFeHg, as listed in OQMD via LeMat-Bulk.

Cell: 4.730 4.730 4.730 Å, 60.00 60.00 60.00°
Positions (direct):
1 Tm 0.000 0.000 0.000
2 Fe 0.750 0.750 0.750
3 Hg 0.250 0.250 0.250

- Size of the total moment: 0.670 μB/atom
- Energy of formation from the pure elements: 1.9 eV per formula unit

=====

# 5
First-principles (PBE) data for an optimized crystal structure of FeHg2W, as listed in OQMD via LeMat-Bulk.

Cell: 4.580 4.580 4.580 Å, 60.00 60.00 60.00°
Positions (direct):
1 Fe 0.000 0.000 0.000
2 Hg 0.250 0.250 0.250
3 Hg 0.500 0.500 0.500
4 W 0.750 0.750 0.750

- Size of the total moment: 0.338 μB/atom
- Energy of formation from the pure elements: 3.8 eV per formula unit

=====

# 6
First-principles (PBE) data for an optimized crystal structure of YFe2Hg, as listed in OQMD via LeMat-Bulk.

Cell: 4.607 4.607 4.607 Å, 60.00 60.00 60.00°
Positions (direct):
1 Y 0.000 0.000 0.000
2 Fe 0.500 0.500 0.500
3 Fe 0.750 0.750 0.750
4 Hg 0.250 0.250 0.250

- Size of the total moment: 1.172 μB/atom
- Energy of formation from the pure elements: 1.1 eV per formula unit